[1]
First-principles (PBE-GGA) data for a geometry-optimized Zr2MnNi structure, as listed in Alexandria via LeMat-Bulk.

Space group ... No. 119
Total magnetization ... 1.68 Bohr magnetons per cell
Volume ... 68.1 Å³/cell
Total DFT energy (no corrections) ... -32.2 eV per cell

Structure (POSCAR):
```
Zr2MnNi
1.0
-1.931 1.931 4.565
1.931 -1.931 4.565
1.931 1.931 -4.565
Zr Mn Ni
2 1 1
Direct
0.000 0.000 0.000 Zr
0.750 0.250 0.500 Zr
0.250 0.750 0.500 Mn
0.500 0.500 0.000 Ni
```

***

[2]
First-principles (PBE-GGA) data for a geometry-optimized Zr2MnNi9 structure, as listed in Alexandria via LeMat-Bulk.

Space group ... No. 123
Total magnetization ... 4.63 Bohr magnetons per cell
Volume ... 151.9 Å³/cell
Excess energy over the best structure of this formula in the dataset ... 0.0000 eV/atom
Total DFT energy (no corrections) ... -82.0 eV per cell

Structure (POSCAR):
```
Zr2MnNi9
1.0
3.714 0.000 0.000
0.000 3.714 0.000
0.000 0.000 11.007
Zr Mn Ni
2 1 9
Direct
0.000 0.000 0.174 Zr
0.000 0.000 0.826 Zr
0.000 0.000 0.500 Mn
0.000 0.500 0.000 Ni
0.000 0.500 0.344 Ni
0.000 0.500 0.656 Ni
0.500 0.000 0.000 Ni
0.500 0.000 0.344 Ni
0.500 0.000 0.656 Ni
0.500 0.500 0.170 Ni
0.500 0.500 0.500 Ni
0.500 0.500 0.830 Ni
```

***

[3]
First-principles (PBE-GGA) data for a geometry-optimized Zr3Mn2Ni4 structure, as listed in Alexandria via LeMat-Bulk.

Space group ... No. 2
Total magnetization ... 8.17 Bohr magnetons per cell
Volume ... 262.6 Å³/cell
Total DFT energy (no corrections) ... -140.1 eV per cell

Structure (POSCAR):
```
Zr3Mn2Ni4
1.0
4.971 0.000 0.000
2.459 4.321 0.000
0.069 0.015 12.224
Zr Mn Ni
6 4 8
Direct
0.008 0.495 0.376 Zr
0.331 0.830 0.043 Zr
0.342 0.836 0.292 Zr
0.658 0.164 0.708 Zr
0.669 0.170 0.957 Zr
0.992 0.505 0.624 Zr
0.000 0.000 0.500 Mn
0.167 0.666 0.834 Mn
0.500 0.000 0.500 Mn
0.833 0.334 0.166 Mn
0.000 0.500 0.000 Ni
0.167 0.166 0.834 Ni
0.330 0.834 0.667 Ni
0.333 0.334 0.166 Ni
0.500 0.500 0.500 Ni
0.667 0.666 0.834 Ni
0.670 0.166 0.333 Ni
0.833 0.834 0.166 Ni
```

***

[4]
First-principles (PBE-GGA) data for a geometry-optimized ZrMn3Ni structure, as listed in Alexandria via LeMat-Bulk.

Space group ... No. 221
Total magnetization ... 9.51 Bohr magnetons per cell
Volume ... 86.7 Å³/cell
Excess energy over the best structure of this formula in the dataset ... 0.0000 eV/atom
Total DFT energy (no corrections) ... -38.7 eV per cell

Structure (POSCAR):
```
ZrMn3Ni
1.0
4.427 0.000 0.000
0.000 4.427 0.000
0.000 0.000 4.427
Zr Mn Ni
1 3 1
Direct
0.000 0.000 0.000 Zr
0.000 0.500 0.500 Mn
0.500 0.000 0.500 Mn
0.500 0.500 0.000 Mn
0.500 0.500 0.500 Ni
```

***

[5]
First-principles (PBE-GGA) data for a geometry-optimized Zr3MnNi structure, as listed in Alexandria via LeMat-Bulk.

Space group ... No. 221
Total magnetization ... 0.00 Bohr magnetons per cell
Volume ... 107.3 Å³/cell
Excess energy over the best structure of this formula in the dataset ... 0.0000 eV/atom
Total DFT energy (no corrections) ... -37.8 eV per cell

Structure (POSCAR):
```
Zr3MnNi
1.0
4.752 0.000 0.000
0.000 4.752 0.000
0.000 0.000 4.752
Zr Mn Ni
3 1 1
Direct
0.000 0.000 0.500 Zr
0.000 0.500 0.000 Zr
0.500 0.000 0.000 Zr
0.000 0.000 0.000 Mn
0.500 0.500 0.500 Ni
```

***

[6]
First-principles (PBE-GGA) data for a geometry-optimized Zr2Mn2Ni structure, as listed in Alexandria via LeMat-Bulk.

Space group ... No. 127
Total magnetization ... 2.53 Bohr magnetons per cell
Volume ... 159.0 Å³/cell
Total DFT energy (no corrections) ... -83.0 eV per cell

Structure (POSCAR):
```
Zr2Mn2Ni
1.0
6.283 0.000 0.000
0.000 6.283 0.000
0.000 0.000 4.026
Zr Mn Ni
4 4 2
Direct
0.184 0.316 0.000 Zr
0.316 0.816 0.000 Zr
0.684 0.184 0.000 Zr
0.816 0.684 0.000 Zr
0.115 0.615 0.500 Mn
0.385 0.115 0.500 Mn
0.615 0.885 0.500 Mn
0.885 0.385 0.500 Mn
0.000 0.000 0.500 Ni
0.500 0.500 0.500 Ni
```

***

[7]
First-principles (PBE-GGA) data for a geometry-optimized ZrMn2Ni structure, as listed in Alexandria via LeMat-Bulk.

Space group ... No. 25
Total magnetization ... 1.13 Bohr magnetons per cell
Volume ... 58.0 Å³/cell
Total DFT energy (no corrections) ... -33.0 eV per cell

Structure (POSCAR):
```
ZrMn2Ni
1.0
2.948 0.000 0.000
0.000 3.012 0.000
0.000 0.000 6.530
Zr Mn Ni
1 2 1
Direct
0.000 0.000 0.000 Zr
0.000 0.000 0.501 Mn
0.500 0.500 0.303 Mn
0.500 0.500 0.714 Ni
```

***

[8]
First-principles (PBE-GGA) data for a geometry-optimized Zr2MnNi structure, as listed in Alexandria via LeMat-Bulk.

Space group ... No. 99
Total magnetization ... 3.80 Bohr magnetons per cell
Volume ... 70.3 Å³/cell
Total DFT energy (no corrections) ... -32.3 eV per cell

Structure (POSCAR):
```
Zr2MnNi
1.0
3.213 0.000 0.000
0.000 3.213 0.000
0.000 0.000 6.815
Zr Mn Ni
2 1 1
Direct
0.000 0.000 0.000 Zr
0.500 0.500 0.318 Zr
0.000 0.000 0.578 Mn
0.500 0.500 0.771 Ni
```

***

[9]
First-principles (PBE-GGA) data for a geometry-optimized Zr2MnNi structure, as listed in Alexandria via LeMat-Bulk.

Space group ... No. 122
Total magnetization ... 6.15 Bohr magnetons per cell
Volume ... 151.7 Å³/cell
Total DFT energy (no corrections) ... -59.9 eV per cell

Structure (POSCAR):
```
Zr2MnNi
1.0
-2.036 2.036 9.147
2.036 -2.036 9.147
2.036 2.036 -9.147
Zr Mn Ni
4 2 2
Direct
0.122 0.625 0.997 Zr
0.375 0.372 0.497 Zr
0.628 0.125 0.003 Zr
0.875 0.878 0.503 Zr
0.250 0.750 0.500 Mn
0.500 0.500 0.000 Mn
0.000 0.000 0.000 Ni
0.750 0.250 0.500 Ni
```

***

[10]
First-principles (PBE-GGA) data for a geometry-optimized ZrMn2Ni structure, as listed in Alexandria via LeMat-Bulk.

Space group ... No. 123
Total magnetization ... 5.69 Bohr magnetons per cell
Volume ... 58.6 Å³/cell
Total DFT energy (no corrections) ... -32.8 eV per cell

Structure (POSCAR):
```
ZrMn2Ni
1.0
3.871 0.000 0.000
0.000 3.871 0.000
0.000 0.000 3.907
Zr Mn Ni
1 2 1
Direct
0.000 0.000 0.000 Zr
0.000 0.500 0.500 Mn
0.500 0.000 0.500 Mn
0.500 0.500 0.000 Ni
```

***

[11]
First-principles (PBE-GGA) data for a geometry-optimized NpMn3 structure, as listed in Alexandria via LeMat-Bulk.

Space group ... No. 221
Total magnetization ... 3.56 Bohr magnetons per cell
Volume ... 56.0 Å³/cell
Total DFT energy (no corrections) ... -39.8 eV per cell

Structure (POSCAR):
```
NpMn3
1.0
3.827 0.000 0.000
0.000 3.827 0.000
0.000 0.000 3.827
Np Mn
1 3
Direct
0.000 0.000 0.000 Np
0.000 0.500 0.500 Mn
0.500 0.000 0.500 Mn
0.500 0.500 0.000 Mn
```

***

[12]
First-principles (PBE-GGA) data for a geometry-optimized NpMn3 structure, as listed in Alexandria via LeMat-Bulk.

Space group ... No. 139
Total magnetization ... 3.82 Bohr magnetons per cell
Volume ... 56.6 Å³/cell
Total DFT energy (no corrections) ... -39.7 eV per cell

Structure (POSCAR):
```
NpMn3
1.0
-1.932 1.932 3.793
1.932 -1.932 3.793
1.932 1.932 -3.793
Np Mn
1 3
Direct
0.000 0.000 0.000 Np
0.250 0.750 0.500 Mn
0.500 0.500 0.000 Mn
0.750 0.250 0.500 Mn
```

***

Among the records above, which one has the highest total magnetization? ZrMn3Ni

***

Please write out number 5 again, unchanged.
First-principles (PBE-GGA) data for a geometry-optimized Zr3MnNi structure, as listed in Alexandria via LeMat-Bulk.

Space group ... No. 221
Total magnetization ... 0.00 Bohr magnetons per cell
Volume ... 107.3 Å³/cell
Excess energy over the best structure of this formula in the dataset ... 0.0000 eV/atom
Total DFT energy (no corrections) ... -37.8 eV per cell

Structure (POSCAR):
```
Zr3MnNi
1.0
4.752 0.000 0.000
0.000 4.752 0.000
0.000 0.000 4.752
Zr Mn Ni
3 1 1
Direct
0.000 0.000 0.500 Zr
0.000 0.500 0.000 Zr
0.500 0.000 0.000 Zr
0.000 0.000 0.000 Mn
0.500 0.500 0.500 Ni
```

***

Which value of total DFT energy (no corrections) does entry 12 give? -39.7 eV per cell